Record 1
# AcPmZn2In2

A relaxed structure of AcPmZn2In2 (GGA-PBE, Alexandria).

Cell lengths 4.7845, 4.7845, 7.9892 Å; angles 90.00, 90.00, 120.00 degrees
Space group P-3m1 (No. 164)
Inequivalent atoms, fractional coordinates:
Ac1 0.0000 0.0000 0.0000 [1 per cell]
Pm1 0.0000 0.0000 0.5000 [1 per cell]
Zn1 0.3333 0.6667 0.7006 [2 per cell]
In1 0.3333 0.6667 0.2762 [2 per cell]

## Properties
The crystal system is trigonal. As for the formation enthalpy at 0 K: -0.443 eV per atom.

Record 2
# Sc2AgRuC

A relaxed structure of Sc2AgRuC (GGA-PBE, Alexandria).

Cell lengths 4.606, 4.606, 3.894 Å; angles 90.00, 90.00, 90.00 degrees
Space group P4/mmm (No. 123)
Inequivalent atoms, fractional coordinates:
Sc1 0.000 0.500 0.000 [2 per cell]
Ag1 0.000 0.000 0.500 [1 per cell]
Ru1 0.500 0.500 0.500 [1 per cell]
C1 0.500 0.500 0.000 [1 per cell]

## Properties
The crystal system is tetragonal. As for the formation enthalpy at 0 K: -0.402 eV per atom.

Record 3
# La5HoEr2Tm

A relaxed structure of La5HoEr2Tm (GGA-PBE, Alexandria).

Cell lengths 5.497, 21.642, 10.617 Å; angles 90.00, 90.00, 90.00 degrees
Space group Cmc2_1 (No. 36)
Inequivalent atoms, fractional coordinates:
La1 0.000 0.000 0.000 [4 per cell]
La2 0.000 0.124 0.250 [4 per cell]
La3 0.000 0.219 0.942 [4 per cell]
La4 0.000 0.220 0.561 [4 per cell]
La5 0.000 0.497 0.250 [4 per cell]
Ho1 0.000 0.292 0.251 [4 per cell]
Er1 0.000 0.386 0.997 [4 per cell]
Er2 0.000 0.387 0.504 [4 per cell]
Tm1 0.000 0.100 0.750 [4 per cell]

## Properties
The crystal system is orthorhombic. As for the formation enthalpy at 0 K: 0.129 eV per atom.

Record 4
# TaGaGeMo2

A relaxed structure of TaGaGeMo2 (GGA-PBE, Alexandria).

Cell lengths 4.807, 4.807, 4.972 Å; angles 90.00, 90.00, 90.00 degrees
Space group P4/mmm (No. 123)
Inequivalent atoms, fractional coordinates:
Ta1 0.000 0.000 0.000 [1 per cell]
Ga1 0.000 0.000 0.500 [1 per cell]
Ge1 0.500 0.500 0.500 [1 per cell]
Mo1 0.000 0.500 0.000 [2 per cell]

## Properties
The crystal system is tetragonal. As for the formation enthalpy at 0 K: 1.615 eV per atom.

Record 5
# ZrCuTe2

A relaxed structure of ZrCuTe2 (GGA-PBE, Alexandria).

Cell lengths 3.6003, 3.6003, 27.1598 Å; angles 90.00, 90.00, 120.00 degrees
Space group R-3m (No. 166, hexagonal axes)
Inequivalent atoms, fractional coordinates:
Zr1 0.0000 0.0000 0.0000 [3 per cell]
Cu1 0.0000 0.0000 0.5000 [3 per cell]
Te1 0.0000 0.0000 0.1047 [6 per cell]

## Properties
The crystal system is trigonal. Its uncorrected formation energy is 4.52 kcal/mol of atoms.

Record 6
# In3IrBr

A relaxed structure of In3IrBr (GGA-PBE, Alexandria).

Cell lengths 5.818, 5.818, 17.739 Å; angles 90.00, 90.00, 90.00 degrees
Space group I-4m2 (No. 119)
Inequivalent atoms, fractional coordinates:
In1 0.000 0.000 0.223 [4 per cell]
In2 0.000 0.259 0.617 [8 per cell]
Ir1 0.000 0.000 0.500 [2 per cell]
Ir2 0.000 0.500 0.750 [2 per cell]
Br1 0.000 0.500 0.141 [4 per cell]

## Properties
The crystal system is tetragonal. Its uncorrected formation energy is 0.17 kcal/mol of atoms.

Record 7
# Rb2TlCdAu

A relaxed structure of Rb2TlCdAu (GGA-PBE, Alexandria).

Cell lengths 6.732, 6.732, 5.340 Å; angles 90.00, 90.00, 90.00 degrees
Space group P4/mmm (No. 123)
Inequivalent atoms, fractional coordinates:
Rb1 0.000 0.500 0.000 [2 per cell]
Tl1 0.000 0.000 0.500 [1 per cell]
Cd1 0.500 0.500 0.500 [1 per cell]
Au1 0.000 0.000 0.000 [1 per cell]

## Properties
The crystal system is tetragonal. As for the formation enthalpy at 0 K: 0.004 eV per atom.

Record 8
# Na3PSe

A relaxed structure of Na3PSe (GGA-PBE, Alexandria).

Cell lengths 5.444, 5.444, 5.444 Å; angles 90.00, 90.00, 90.00 degrees
Space group Pm-3m (No. 221)
Inequivalent atoms, fractional coordinates:
Na1 0.000 0.000 0.500 [3 per cell]
P1 0.500 0.500 0.500 [1 per cell]
Se1 0.000 0.000 0.000 [1 per cell]

## Properties
The crystal system is cubic. Its uncorrected formation energy is -4.66 kcal/mol of atoms.